Ba2WF after structural relaxation, computed with PBE+U.

Energy above the most stable polymorph in this dataset = 412.6 meV per atom
Calculated volume = 35.753 Å³ per atom

Geometry as CIF:
```
data_Ba2WF
_chemical_formula_sum 'Ba8 W4 F4'
_symmetry_space_group_name_H-M 'F m -3 m'
_symmetry_Int_Tables_number 225
_symmetry_space_group_name_Hall '-F 4 2 3'
_cell_length_a 8.301
_cell_length_b 8.301
_cell_length_c 8.301
_cell_angle_alpha 90.00
_cell_angle_beta 90.00
_cell_angle_gamma 90.00
loop_
_atom_site_label
_atom_site_type_symbol
_atom_site_fract_x
_atom_site_fract_y
_atom_site_fract_z
_atom_site_occupancy
Ba1 Ba 0.250 0.250 0.250 1
W1 W 0.000 0.000 0.000 1
F1 F 0.000 0.000 0.500 1
```